No. 1
# PaIn3I8, optimized geometry, DFT PBE
data_PaIn3I8
_cell_length_a 8.4702
_cell_length_b 8.4702
_cell_length_c 9.8524
_cell_angle_alpha 90.00
_cell_angle_beta 90.00
_cell_angle_gamma 113.96
_space_group_name_H-M_alt 'P 1'
_space_group_IT_number 1
loop_
_space_group_symop_operation_xyz
'x,y,z'
loop_
_atom_site_label
_atom_site_type_symbol
_atom_site_fract_x
_atom_site_fract_y
_atom_site_fract_z
I1 I 0.2683 0.2791 0.2846
I2 I 0.2791 0.2683 0.7154
I3 I 0.2930 0.7070 0.5000
I4 I 0.7070 0.2930 0.5000
I5 I 0.7395 0.2605 0.0000
I6 I 0.2605 0.7395 0.0000
I7 I 0.7209 0.7317 0.7154
I8 I 0.7317 0.7209 0.2846
Pa1 Pa 0.5000 0.5000 0.5000
In1 In 0.5000 0.5000 0.0000
In2 In 0.0000 0.5000 0.2207
In3 In 0.5000 0.0000 0.7793
# total moment = 0.10 μB/f.u.
# final energy = -3.20 eV per atom
# V = 645.95 Å³/f.u.
# space group = C222 (21)

No. 2
# PaIn2I6, optimized geometry, DFT PBE
data_PaIn2I6
_cell_length_a 8.1817
_cell_length_b 8.7415
_cell_length_c 11.8715
_cell_angle_alpha 90.00
_cell_angle_beta 95.92
_cell_angle_gamma 90.00
_space_group_name_H-M_alt 'P 1'
_space_group_IT_number 1
loop_
_space_group_symop_operation_xyz
'x,y,z'
loop_
_atom_site_label
_atom_site_type_symbol
_atom_site_fract_x
_atom_site_fract_y
_atom_site_fract_z
I1 I 0.8031 0.6835 0.9494
I2 I 0.6969 0.1835 0.5506
I3 I 0.6491 0.4572 0.2430
I4 I 0.1491 0.0428 0.7430
I5 I 0.8348 0.7090 0.5694
I6 I 0.6652 0.2090 0.9306
I7 I 0.3509 0.5428 0.7570
I8 I 0.1969 0.3165 0.0506
I9 I 0.3348 0.7910 0.0694
I10 I 0.3031 0.8165 0.4494
I11 I 0.8509 0.9572 0.2570
I12 I 0.1652 0.2910 0.4306
In1 In 0.0377 0.6074 0.2112
In2 In 0.5377 0.8926 0.7112
In3 In 0.4623 0.1074 0.2888
In4 In 0.9623 0.3926 0.7888
Pa1 Pa 0.5000 0.5000 0.0000
Pa2 Pa 0.0000 0.0000 0.5000
# total moment = 1.01 μB/f.u.
# final energy = -3.46 eV per atom
# V = 422.26 Å³/f.u.
# space group = P2_1/c (14)

No. 3
# PaIn2I8, optimized geometry, DFT PBE
data_PaIn2I8
_cell_length_a 10.0959
_cell_length_b 8.8379
_cell_length_c 8.8379
_cell_angle_alpha 77.07
_cell_angle_beta 117.33
_cell_angle_gamma 117.33
_space_group_name_H-M_alt 'P 1'
_space_group_IT_number 1
loop_
_space_group_symop_operation_xyz
'x,y,z'
loop_
_atom_site_label
_atom_site_type_symbol
_atom_site_fract_x
_atom_site_fract_y
_atom_site_fract_z
I1 I 0.8194 0.3303 0.3303
I2 I 0.1884 0.1608 0.7671
I3 I 0.1884 0.7671 0.1608
I4 I 0.1806 0.6697 0.6697
I5 I 0.8116 0.8392 0.2329
I6 I 0.7404 0.7415 0.7415
I7 I 0.2596 0.2585 0.2585
I8 I 0.8116 0.2329 0.8392
In1 In 0.3296 0.9093 0.9093
In2 In 0.6704 0.0907 0.0907
Pa1 Pa 0.0000 0.0000 0.0000
# total moment = 0.95 μB/f.u.
# final energy = -3.16 eV per atom
# V = 622.26 Å³/f.u.
# offset from the most stable computed form = 0.000 eV per atom
# space group = C2/m (12)

No. 4
# Pa2InI8, optimized geometry, DFT PBE
data_Pa2InI8
_cell_length_a 6.2220
_cell_length_b 10.6029
_cell_length_c 10.6032
_cell_angle_alpha 120.00
_cell_angle_beta 90.00
_cell_angle_gamma 90.00
_space_group_name_H-M_alt 'P 1'
_space_group_IT_number 1
loop_
_space_group_symop_operation_xyz
'x,y,z'
loop_
_atom_site_label
_atom_site_type_symbol
_atom_site_fract_x
_atom_site_fract_y
_atom_site_fract_z
I1 I 0.7438 0.8290 0.6561
I2 I 0.2518 0.6666 0.3333
I3 I 0.7437 0.3438 0.1728
I4 I 0.7482 0.3334 0.6667
I5 I 0.2562 0.1710 0.3439
I6 I 0.2563 0.6562 0.8272
I7 I 0.2563 0.1729 0.8290
I8 I 0.7437 0.8272 0.1710
Pa1 Pa 0.2457 0.3333 0.6667
Pa2 Pa 0.7543 0.6667 0.3333
In1 In 0.0000 0.0000 0.0000
# total moment = 3.00 μB/f.u.
# final energy = -3.78 eV per atom
# V = 605.79 Å³/f.u.
# offset from the most stable computed form = 0.045 eV per atom
# space group = P-3 (147)

No. 5
# Pa2InI8, optimized geometry, DFT PBE
data_Pa2InI8
_cell_length_a 9.2119
_cell_length_b 8.5529
_cell_length_c 8.5529
_cell_angle_alpha 104.80
_cell_angle_beta 91.84
_cell_angle_gamma 91.84
_space_group_name_H-M_alt 'P 1'
_space_group_IT_number 1
loop_
_space_group_symop_operation_xyz
'x,y,z'
loop_
_atom_site_label
_atom_site_type_symbol
_atom_site_fract_x
_atom_site_fract_y
_atom_site_fract_z
I1 I 0.7520 0.4134 0.4134
I2 I 0.7940 0.9074 0.3141
I3 I 0.6413 0.8309 0.8309
I4 I 0.7940 0.3141 0.9074
I5 I 0.2060 0.0926 0.6859
I6 I 0.3587 0.1691 0.1691
I7 I 0.2060 0.6859 0.0926
I8 I 0.2480 0.5866 0.5866
In1 In 0.0000 0.0000 0.0000
Pa1 Pa 0.3157 0.8627 0.8627
Pa2 Pa 0.6843 0.1373 0.1373
# total moment = 2.72 μB/f.u.
# final energy = -3.83 eV per atom
# V = 650.63 Å³/f.u.
# offset from the most stable computed form = 0.000 eV per atom
# space group = C2/m (12)

No. 6
# PaInI, optimized geometry, DFT PBE
data_PaInI
_cell_length_a 4.0297
_cell_length_b 4.1064
_cell_length_c 11.9252
_cell_angle_alpha 90.10
_cell_angle_beta 95.90
_cell_angle_gamma 90.00
_space_group_name_H-M_alt 'P 1'
_space_group_IT_number 1
loop_
_space_group_symop_operation_xyz
'x,y,z'
loop_
_atom_site_label
_atom_site_type_symbol
_atom_site_fract_x
_atom_site_fract_y
_atom_site_fract_z
I1 I 0.4978 0.7518 0.8369
I2 I 0.5022 0.2482 0.1631
In1 In 0.1067 0.7489 0.2986
In2 In 0.8933 0.2511 0.7014
Pa1 Pa 0.3369 0.7503 0.5488
Pa2 Pa 0.6631 0.2497 0.4512
# total moment = 0.00 μB/f.u.
# final energy = -4.65 eV per atom
# V = 98.14 Å³/f.u.
# space group = P-1 (2)

No. 7
# PaInI5, optimized geometry, DFT PBE
data_PaInI5
_cell_length_a 8.3787
_cell_length_b 8.3787
_cell_length_c 11.9921
_cell_angle_alpha 70.38
_cell_angle_beta 70.38
_cell_angle_gamma 70.16
_space_group_name_H-M_alt 'P 1'
_space_group_IT_number 1
loop_
_space_group_symop_operation_xyz
'x,y,z'
loop_
_atom_site_label
_atom_site_type_symbol
_atom_site_fract_x
_atom_site_fract_y
_atom_site_fract_z
I1 I 0.2161 0.6332 0.9855
I2 I 0.1304 0.3210 0.3712
I3 I 0.0935 0.9065 0.2500
I4 I 0.3668 0.7839 0.5145
I5 I 0.3210 0.1304 0.8712
I6 I 0.8696 0.6790 0.6288
I7 I 0.9065 0.0935 0.7500
I8 I 0.6790 0.8696 0.1288
I9 I 0.6332 0.2161 0.4855
I10 I 0.7839 0.3668 0.0145
In1 In 0.5217 0.4783 0.7500
In2 In 0.4783 0.5217 0.2500
Pa1 Pa 0.0000 0.0000 0.0000
Pa2 Pa 0.0000 0.0000 0.5000
# total moment = 1.00 μB/f.u.
# final energy = -3.63 eV per atom
# V = 361.10 Å³/f.u.
# space group = C2/c (15)

No. 8
# PaIn2I8, optimized geometry, DFT PBE
data_PaIn2I8
_cell_length_a 9.1522
_cell_length_b 8.2533
_cell_length_c 8.2533
_cell_angle_alpha 60.80
_cell_angle_beta 89.59
_cell_angle_gamma 89.59
_space_group_name_H-M_alt 'P 1'
_space_group_IT_number 1
loop_
_space_group_symop_operation_xyz
'x,y,z'
loop_
_atom_site_label
_atom_site_type_symbol
_atom_site_fract_x
_atom_site_fract_y
_atom_site_fract_z
In1 In 0.5301 0.1129 0.1129
In2 In 0.4699 0.8871 0.8871
I1 I 0.5848 0.3102 0.3102
I2 I 0.4152 0.6898 0.6898
I3 I 0.2053 0.1786 0.6816
I4 I 0.2053 0.6816 0.1786
I5 I 0.7947 0.3184 0.8214
I6 I 0.1645 0.1763 0.1763
I7 I 0.8355 0.8237 0.8237
I8 I 0.7947 0.8214 0.3184
Pa1 Pa 0.0000 0.0000 0.0000
# total moment = 0.00 μB/f.u.
# final energy = -3.14 eV per atom
# V = 544.18 Å³/f.u.
# offset from the most stable computed form = 0.023 eV per atom
# space group = C2/m (12)

Please write out number 6 again, unchanged.
# PaInI, optimized geometry, DFT PBE
data_PaInI
_cell_length_a 4.0297
_cell_length_b 4.1064
_cell_length_c 11.9252
_cell_angle_alpha 90.10
_cell_angle_beta 95.90
_cell_angle_gamma 90.00
_space_group_name_H-M_alt 'P 1'
_space_group_IT_number 1
loop_
_space_group_symop_operation_xyz
'x,y,z'
loop_
_atom_site_label
_atom_site_type_symbol
_atom_site_fract_x
_atom_site_fract_y
_atom_site_fract_z
I1 I 0.4978 0.7518 0.8369
I2 I 0.5022 0.2482 0.1631
In1 In 0.1067 0.7489 0.2986
In2 In 0.8933 0.2511 0.7014
Pa1 Pa 0.3369 0.7503 0.5488
Pa2 Pa 0.6631 0.2497 0.4512
# total moment = 0.00 μB/f.u.
# final energy = -4.65 eV per atom
# V = 98.14 Å³/f.u.
# space group = P-1 (2)

Which formula does entry 5 have? Pa2InI8